# 1
! LiPPb GGA-PBE optimized geometry; values from VASP
! Excess energy over the best structure of this formula in the dataset (eV per atom): 0.000
! Calculated formation energy (meV/atom): -238
! Raw total energy (eV per atom): -3.916
&SYSTEM
  ibrav = 0, nat = 3, ntyp = 3
/
ATOMIC_SPECIES
P 30.97 P.upf
Li 6.94 Li.upf
Pb 207.20 Pb.upf
CELL_PARAMETERS angstrom
4.059 0.000 0.000
-2.030 3.516 0.000
0.000 0.000 5.128
ATOMIC_POSITIONS angstrom
P 2.030 1.172 1.495
Li 0.000 0.000 0.614
Pb 0.000 2.344 3.019



# 2
! AlCd3O GGA-PBE optimized geometry; values from VASP
! Energy relative to the elements, uncorrected (eV per atom): -0.011
! Excess energy over the best structure of this formula in the dataset (eV per atom): 0.000
! Raw total energy (eV per atom): -2.300
&SYSTEM
  ibrav = 0, nat = 5, ntyp = 3
/
ATOMIC_SPECIES
Cd 112.41 Cd.upf
O 16.00 O.upf
Al 26.98 Al.upf
CELL_PARAMETERS angstrom
4.660 0.000 0.000
0.000 4.660 0.000
0.000 0.000 4.660
ATOMIC_POSITIONS angstrom
Cd 2.330 0.000 0.000
Cd 0.000 0.000 2.330
Cd 0.000 2.330 0.000
O 0.000 0.000 0.000
Al 2.330 2.330 2.330



# 3
! Rb2TlSn4Pb3 GGA-PBE optimized geometry; values from VASP
! Calculated formation energy (meV/atom): -90
! Raw total energy (eV per atom): -3.233
&SYSTEM
  ibrav = 0, nat = 10, ntyp = 4
/
ATOMIC_SPECIES
Sn 118.71 Sn.upf
Pb 207.20 Pb.upf
Rb 85.47 Rb.upf
Tl 204.38 Tl.upf
CELL_PARAMETERS angstrom
5.256 0.000 0.000
0.000 5.256 0.000
0.000 0.000 13.355
ATOMIC_POSITIONS angstrom
Sn 0.000 0.000 0.000
Sn 0.000 2.628 4.960
Sn 2.628 2.628 0.000
Sn 2.628 0.000 8.395
Pb 0.000 2.628 1.750
Pb 0.000 0.000 6.678
Pb 2.628 0.000 11.606
Rb 2.628 0.000 3.356
Rb 0.000 2.628 9.999
Tl 2.628 2.628 6.678



# 4
! Ac2PrAg GGA-PBE optimized geometry; values from VASP
! Excess energy over the best structure of this formula in the dataset (eV per atom): 0.208
! Calculated formation energy (meV/atom): 100
! Raw total energy (eV per atom): -3.862
&SYSTEM
  ibrav = 0, nat = 4, ntyp = 3
/
ATOMIC_SPECIES
Pr 140.91 Pr.upf
Ag 107.87 Ag.upf
Ac 227.00 Ac.upf
CELL_PARAMETERS angstrom
5.830 0.000 0.000
2.915 5.049 0.000
2.915 1.683 4.760
ATOMIC_POSITIONS angstrom
Pr 0.000 0.000 0.000
Ag 5.830 3.366 2.380
Ac 8.745 5.049 3.570
Ac 2.915 1.683 1.190



# 5
! TbTm2HgC GGA-PBE optimized geometry; values from VASP
! Calculated formation energy (meV/atom): -398
! Raw total energy (eV per atom): -5.017
&SYSTEM
  ibrav = 0, nat = 5, ntyp = 4
/
ATOMIC_SPECIES
Tm 168.93 Tm.upf
Hg 200.59 Hg.upf
Tb 158.93 Tb.upf
C 12.01 C.upf
CELL_PARAMETERS angstrom
4.973 0.000 0.000
0.000 4.800 0.000
0.000 0.000 4.800
ATOMIC_POSITIONS angstrom
Tm 0.000 0.000 2.400
Tm 0.000 2.400 0.000
Hg 2.486 2.400 2.400
Tb 2.486 0.000 0.000
C 0.000 0.000 0.000



# 6
! Np2U2S7 GGA-PBE optimized geometry; values from VASP
! Energy relative to the elements, uncorrected (eV per atom): -1.366
! Excess energy over the best structure of this formula in the dataset (eV per atom): 0.040
! Raw total energy (eV per atom): -8.398
&SYSTEM
  ibrav = 0, nat = 11, ntyp = 3
/
ATOMIC_SPECIES
U 238.03 U.upf
Np 237.00 Np.upf
S 32.06 S.upf
CELL_PARAMETERS angstrom
-0.956 -3.533 -1.226
6.408 -2.098 -5.029
6.163 -4.839 3.061
ATOMIC_POSITIONS angstrom
U 8.810 -7.636 -3.098
U 2.847 -2.362 -1.492
Np 6.356 -2.687 -3.291
Np 5.766 -5.701 -0.222
S 10.055 -6.613 -0.940
S 7.334 -5.307 -2.580
S 5.687 -6.574 2.355
S 7.166 -8.091 -0.505
S 4.339 -3.605 0.929
S 1.505 -4.461 -0.471
S 4.336 -4.553 -2.416



# 7
! NaAl5Au6 GGA-PBE optimized geometry; values from VASP
! Calculated formation energy (meV/atom): -296
! Raw total energy (eV per atom): -3.604
&SYSTEM
  ibrav = 0, nat = 12, ntyp = 3
/
ATOMIC_SPECIES
Au 196.97 Au.upf
Al 26.98 Al.upf
Na 22.99 Na.upf
CELL_PARAMETERS angstrom
-2.716 -3.599 0.437
3.354 -1.851 5.597
-4.018 7.015 0.619
ATOMIC_POSITIONS angstrom
Au -3.017 0.562 3.892
Au -0.363 1.003 2.761
Au 1.075 -3.143 4.280
Au 1.186 0.148 5.347
Au -4.456 4.707 2.374
Au -4.567 1.417 1.307
Al -2.445 2.770 2.381
Al -0.804 2.113 5.290
Al 1.677 -0.926 2.799
Al -2.577 -0.548 1.363
Al -0.936 -1.205 4.272
Na 0.000 0.000 0.000